(1)
# PBE TcBiBr2, optimized geometry
# M_tot	1.1	μB per cell
# V	120	Å³/cell
# raw formation energy	0.2315	eV per atom
# relative energy among the computed polymorphs	0.1	kJ per mole of atoms
data_TcBiBr2
_cell_length_a 11.585
_cell_length_b 11.585
_cell_length_c 11.585
_cell_angle_alpha 17.29
_cell_angle_beta 17.29
_cell_angle_gamma 17.29
_space_group_name_H-M_alt 'P 1'
_space_group_IT_number 1
loop_
_space_group_symop_operation_xyz
'x,y,z'
loop_
_atom_site_label
_atom_site_type_symbol
_atom_site_fract_x
_atom_site_fract_y
_atom_site_fract_z
_atom_site_occupancy
Tc1 Tc 0.000 0.000 0.000 1
Bi1 Bi 0.500 0.500 0.500 1
Br1 Br 0.380 0.380 0.380 1
Br2 Br 0.620 0.620 0.620 1

(2)
# PBE Cu2NiRh2, optimized geometry
# M_tot	2.6	μB per cell
# V	138	Å³/cell
# relative energy among the computed polymorphs	1.9	kJ per mole of atoms
# ΔH_f (0 K)	1.96	eV/f.u.
data_Cu2NiRh2
_cell_length_a 6.977
_cell_length_b 6.977
_cell_length_c 2.837
_cell_angle_alpha 90.00
_cell_angle_beta 90.00
_cell_angle_gamma 90.00
_space_group_name_H-M_alt 'P 1'
_space_group_IT_number 1
loop_
_space_group_symop_operation_xyz
'x,y,z'
loop_
_atom_site_label
_atom_site_type_symbol
_atom_site_fract_x
_atom_site_fract_y
_atom_site_fract_z
_atom_site_occupancy
Cu1 Cu 0.164 0.336 0.000 1
Cu2 Cu 0.336 0.836 0.000 1
Cu3 Cu 0.664 0.164 0.000 1
Cu4 Cu 0.836 0.664 0.000 1
Ni1 Ni 0.000 0.000 0.500 1
Ni2 Ni 0.500 0.500 0.500 1
Rh1 Rh 0.135 0.635 0.500 1
Rh2 Rh 0.365 0.135 0.500 1
Rh3 Rh 0.635 0.865 0.500 1
Rh4 Rh 0.865 0.365 0.500 1

(3)
# PBE NaGa3Ag, optimized geometry
# M_tot	0.0	μB per cell
# V	131	Å³/cell
# relative energy among the computed polymorphs	31.0	kJ per mole of atoms
# ΔH_f (0 K)	1.15	eV/f.u.
data_NaGa3Ag
_cell_length_a 5.083
_cell_length_b 5.083
_cell_length_c 5.083
_cell_angle_alpha 90.00
_cell_angle_beta 90.00
_cell_angle_gamma 90.00
_space_group_name_H-M_alt 'P 1'
_space_group_IT_number 1
loop_
_space_group_symop_operation_xyz
'x,y,z'
loop_
_atom_site_label
_atom_site_type_symbol
_atom_site_fract_x
_atom_site_fract_y
_atom_site_fract_z
_atom_site_occupancy
Na1 Na 0.000 0.000 0.000 1
Ga1 Ga 0.000 0.500 0.500 1
Ga2 Ga 0.500 0.000 0.500 1
Ga3 Ga 0.500 0.500 0.000 1
Ag1 Ag 0.500 0.500 0.500 1

(4)
# PBE AcPrPdPt, optimized geometry
# M_tot	0.0	μB per cell
# V	103	Å³/cell
# relative energy among the computed polymorphs	11.2	kJ per mole of atoms
# ΔH_f (0 K)	-3.40	eV/f.u.
data_AcPrPdPt
_cell_length_a 5.258
_cell_length_b 5.258
_cell_length_c 5.258
_cell_angle_alpha 60.00
_cell_angle_beta 60.00
_cell_angle_gamma 60.00
_space_group_name_H-M_alt 'P 1'
_space_group_IT_number 1
loop_
_space_group_symop_operation_xyz
'x,y,z'
loop_
_atom_site_label
_atom_site_type_symbol
_atom_site_fract_x
_atom_site_fract_y
_atom_site_fract_z
_atom_site_occupancy
Ac1 Ac 0.000 0.000 0.000 1
Pr1 Pr 0.500 0.500 0.500 1
Pd1 Pd 0.750 0.750 0.750 1
Pt1 Pt 0.250 0.250 0.250 1

(5)
# PBE Li2SiS, optimized geometry
# M_tot	0.0	μB per cell
# V	130	Å³/cell
# raw formation energy	-0.7310	eV per atom
# relative energy among the computed polymorphs	9.5	kJ per mole of atoms
data_Li2SiS
_cell_length_a 6.185
_cell_length_b 3.762
_cell_length_c 6.271
_cell_angle_alpha 90.00
_cell_angle_beta 117.08
_cell_angle_gamma 90.00
_space_group_name_H-M_alt 'P 1'
_space_group_IT_number 1
loop_
_space_group_symop_operation_xyz
'x,y,z'
loop_
_atom_site_label
_atom_site_type_symbol
_atom_site_fract_x
_atom_site_fract_y
_atom_site_fract_z
_atom_site_occupancy
Li1 Li 0.000 0.000 0.000 1
Li2 Li 0.057 0.000 0.581 1
Li3 Li 0.481 0.000 0.408 1
Li4 Li 0.751 0.500 0.261 1
Si1 Si 0.467 0.000 0.975 1
Si2 Si 0.485 0.500 0.762 1
S1 S 0.181 0.500 0.378 1
S2 S 0.797 0.500 0.672 1

(6)
# PBE CaPmGeIr, optimized geometry
# M_tot	0.0	μB per cell
# V	96	Å³/cell
# relative energy among the computed polymorphs	0.0	kJ per mole of atoms
# ΔH_f (0 K)	-2.65	eV/f.u.
data_CaPmGeIr
_cell_length_a 3.949
_cell_length_b 5.989
_cell_length_c 5.989
_cell_angle_alpha 42.80
_cell_angle_beta 90.00
_cell_angle_gamma 90.00
_space_group_name_H-M_alt 'P 1'
_space_group_IT_number 1
loop_
_space_group_symop_operation_xyz
'x,y,z'
loop_
_atom_site_label
_atom_site_type_symbol
_atom_site_fract_x
_atom_site_fract_y
_atom_site_fract_z
_atom_site_occupancy
Ca1 Ca 0.000 0.000 0.000 1
Pm1 Pm 0.500 0.287 0.287 1
Ge1 Ge 0.500 0.582 0.582 1
Ir1 Ir 0.000 0.723 0.723 1

(7)
# PBE Re2SbAu, optimized geometry
# M_tot	0.0	μB per cell
# V	70	Å³/cell
# raw formation energy	0.6658	eV per atom
data_Re2SbAu
_cell_length_a 4.827
_cell_length_b 4.827
_cell_length_c 5.269
_cell_angle_alpha 104.29
_cell_angle_beta 104.29
_cell_angle_gamma 36.36
_space_group_name_H-M_alt 'P 1'
_space_group_IT_number 1
loop_
_space_group_symop_operation_xyz
'x,y,z'
loop_
_atom_site_label
_atom_site_type_symbol
_atom_site_fract_x
_atom_site_fract_y
_atom_site_fract_z
_atom_site_occupancy
Re1 Re 0.241 0.241 0.283 1
Re2 Re 0.759 0.759 0.717 1
Sb1 Sb 0.500 0.500 0.000 1
Au1 Au 0.000 0.000 0.500 1

(8)
# PBE TaFeSb2Te, optimized geometry
# M_tot	3.7	μB per cell
# V	154	Å³/cell
# raw formation energy	0.9445	eV per atom
# relative energy among the computed polymorphs	0.0	kJ per mole of atoms
data_TaFeSb2Te
_cell_length_a 5.377
_cell_length_b 5.377
_cell_length_c 5.333
_cell_angle_alpha 90.00
_cell_angle_beta 90.00
_cell_angle_gamma 90.00
_space_group_name_H-M_alt 'P 1'
_space_group_IT_number 1
loop_
_space_group_symop_operation_xyz
'x,y,z'
loop_
_atom_site_label
_atom_site_type_symbol
_atom_site_fract_x
_atom_site_fract_y
_atom_site_fract_z
_atom_site_occupancy
Ta1 Ta 0.000 0.000 0.000 1
Fe1 Fe 0.500 0.500 0.500 1
Sb1 Sb 0.000 0.500 0.000 1
Sb2 Sb 0.500 0.000 0.000 1
Te1 Te 0.000 0.000 0.500 1

(9)
# PBE TaCrCl2, optimized geometry
# M_tot	1.1	μB per cell
# V	86	Å³/cell
# raw formation energy	-0.3966	eV per atom
# relative energy among the computed polymorphs	0.0	kJ per mole of atoms
data_TaCrCl2
_cell_length_a 3.304
_cell_length_b 2.952
_cell_length_c 8.852
_cell_angle_alpha 90.00
_cell_angle_beta 91.43
_cell_angle_gamma 90.00
_space_group_name_H-M_alt 'P 1'
_space_group_IT_number 1
loop_
_space_group_symop_operation_xyz
'x,y,z'
loop_
_atom_site_label
_atom_site_type_symbol
_atom_site_fract_x
_atom_site_fract_y
_atom_site_fract_z
_atom_site_occupancy
Ta1 Ta 0.000 0.000 0.000 1
Cr1 Cr 0.488 0.500 0.821 1
Cl1 Cl 0.015 0.500 0.222 1
Cl2 Cl 0.474 0.000 0.625 1

(10)
# PBE KZrAl2, optimized geometry
# M_tot	0.0	μB per cell
# V	104	Å³/cell
# relative energy among the computed polymorphs	20.6	kJ per mole of atoms
# ΔH_f (0 K)	0.84	eV/f.u.
data_KZrAl2
_cell_length_a 2.964
_cell_length_b 3.821
_cell_length_c 9.138
_cell_angle_alpha 90.00
_cell_angle_beta 90.00
_cell_angle_gamma 90.00
_space_group_name_H-M_alt 'P 1'
_space_group_IT_number 1
loop_
_space_group_symop_operation_xyz
'x,y,z'
loop_
_atom_site_label
_atom_site_type_symbol
_atom_site_fract_x
_atom_site_fract_y
_atom_site_fract_z
_atom_site_occupancy
K1 K 0.000 0.000 0.000 1
Zr1 Zr 0.500 0.500 0.373 1
Al1 Al 0.000 0.000 0.552 1
Al2 Al 0.500 0.500 0.701 1

(11)
# PBE InGa2NiSn, optimized geometry
# M_tot	0.0	μB per cell
# V	145	Å³/cell
# relative energy among the computed polymorphs	102.8	kJ per mole of atoms
# ΔH_f (0 K)	5.17	eV/f.u.
data_InGa2NiSn
_cell_length_a 5.080
_cell_length_b 5.080
_cell_length_c 5.618
_cell_angle_alpha 90.00
_cell_angle_beta 90.00
_cell_angle_gamma 90.00
_space_group_name_H-M_alt 'P 1'
_space_group_IT_number 1
loop_
_space_group_symop_operation_xyz
'x,y,z'
loop_
_atom_site_label
_atom_site_type_symbol
_atom_site_fract_x
_atom_site_fract_y
_atom_site_fract_z
_atom_site_occupancy
In1 In 0.000 0.000 0.000 1
Ga1 Ga 0.000 0.500 0.000 1
Ga2 Ga 0.500 0.000 0.000 1
Ni1 Ni 0.500 0.500 0.500 1
Sn1 Sn 0.000 0.000 0.500 1

(12)
# PBE K4Tb3HoS8, optimized geometry
# M_tot	0.0	μB per cell
# V	421	Å³/cell
# raw formation energy	-1.8883	eV per atom
data_K4Tb3HoS8
_cell_length_a 8.738
_cell_length_b 8.738
_cell_length_c 8.738
_cell_angle_alpha 55.40
_cell_angle_beta 55.40
_cell_angle_gamma 55.40
_space_group_name_H-M_alt 'P 1'
_space_group_IT_number 1
loop_
_space_group_symop_operation_xyz
'x,y,z'
loop_
_atom_site_label
_atom_site_type_symbol
_atom_site_fract_x
_atom_site_fract_y
_atom_site_fract_z
_atom_site_occupancy
K1 K 0.000 0.000 0.000 1
K2 K 0.000 0.500 0.500 1
K3 K 0.500 0.000 0.500 1
K4 K 0.500 0.500 0.000 1
Tb1 Tb 0.000 0.000 0.500 1
Tb2 Tb 0.000 0.500 0.000 1
Tb3 Tb 0.500 0.000 0.000 1
Ho1 Ho 0.500 0.500 0.500 1
S1 S 0.234 0.234 0.234 1
S2 S 0.236 0.733 0.733 1
S3 S 0.267 0.267 0.764 1
S4 S 0.267 0.764 0.267 1
S5 S 0.733 0.236 0.733 1
S6 S 0.733 0.733 0.236 1
S7 S 0.764 0.267 0.267 1
S8 S 0.766 0.766 0.766 1